1.
First-principles (GGA-PBE) data for a relaxed KMgAlRh crystal, as listed in Alexandria.

Its energy relative to the elements is -0.83 eV/f.u. For the total energy, the calculation gives -3.65 eV/atom. Its density of states at the Fermi level is 2.1 states/eV per cell. The density comes out at 3.6 g/cm³. The relative energy among the computed polymorphs is 30 meV/atom.

The space group is P4mm (No. 99) and the conventional cell measures 3.126, 3.126 and 9.150 Å, with angles of 90.00, 90.00 and 90.00 degrees. Symmetry generates all atoms from K at (0.000, 0.000, 0.000), Mg at (0.500, 0.500, 0.365), Al at (0.500, 0.500, 0.690) and Rh at (0.000, 0.000, 0.548).


2.
First-principles (GGA-PBE) data for a relaxed KMgAlRh crystal, as listed in Alexandria.

Its energy relative to the elements is -0.75 eV/f.u. For the total energy, the calculation gives -3.63 eV/atom. Its density of states at the Fermi level is 3.3 states/eV per cell. The density comes out at 3.0 g/cm³. The relative energy among the computed polymorphs is 51 meV/atom.

The space group is Cm (No. 8) and the conventional cell measures 7.408, 4.255 and 7.228 Å, with angles of 90.00, 109.91 and 90.00 degrees. Symmetry generates all atoms from K at (0.000, 0.000, 0.000), Mg at (0.194, 0.000, 0.580), Al at (0.292, 0.500, 0.371) and Rh at (0.473, 0.000, 0.417).


3.
First-principles (GGA-PBE) data for a relaxed KMgAlRh crystal, as listed in Alexandria.

Its energy relative to the elements is -0.43 eV/f.u. For the total energy, the calculation gives -3.55 eV/atom. Its density of states at the Fermi level is 3.4 states/eV per cell. The density comes out at 3.1 g/cm³. The relative energy among the computed polymorphs is 132 meV/atom.

The space group is Cm (No. 8) and the conventional cell measures 15.419, 4.433 and 3.076 Å, with angles of 90.00, 100.74 and 90.00 degrees. Symmetry generates all atoms from K at (0.000, 0.000, 0.000), Mg at (0.196, 0.500, 0.215), Al at (0.332, 0.000, 0.341) and Rh at (0.209, 0.000, 0.725).


4.
First-principles (GGA-PBE) data for a relaxed KMgAlRh crystal, as listed in Alexandria.

Its energy relative to the elements is -0.69 eV/f.u. For the total energy, the calculation gives -3.62 eV/atom. Its density of states at the Fermi level is 1.7 states/eV per cell. The density comes out at 3.3 g/cm³. The relative energy among the computed polymorphs is 66 meV/atom.

The space group is P1 (No. 1) and the conventional cell measures 3.079, 3.723 and 8.508 Å, with angles of 89.93, 89.72 and 90.00 degrees. Symmetry generates all atoms from K at (0.000, 0.000, 0.000), Mg at (0.499, 0.498, 0.365), Al at (0.995, 0.997, 0.611) and Rh at (0.494, 0.497, 0.676).


5.
First-principles (GGA-PBE) data for a relaxed KMgAlRh crystal, as listed in Alexandria.

Its energy relative to the elements is -0.75 eV/f.u. For the total energy, the calculation gives -3.63 eV/atom. Its density of states at the Fermi level is 4.9 states/eV per cell. The density comes out at 3.0 g/cm³. The relative energy among the computed polymorphs is 51 meV/atom.

The space group is R3m (No. 160, hexagonal axes) and the conventional cell measures 4.3086, 4.3086 and 20.2026 Å, with angles of 90.00, 90.00 and 120.00 degrees. Symmetry generates all atoms from K at (0.0000, 0.0000, 0.0000), Mg at (0.0000, 0.0000, 0.8101), Al at (0.0000, 0.0000, 0.5421) and Rh at (0.0000, 0.0000, 0.1960).


6.
First-principles (GGA-PBE) data for a relaxed KMgAlRh crystal, as listed in Alexandria.

Its energy relative to the elements is 0.14 eV/f.u. For the total energy, the calculation gives -3.41 eV/atom. Its density of states at the Fermi level is 4.3 states/eV per cell. The density comes out at 2.9 g/cm³. The relative energy among the computed polymorphs is 274 meV/atom.

The space group is Cm (No. 8) and the conventional cell measures 11.109, 4.759 and 4.499 Å, with angles of 90.00, 110.95 and 90.00 degrees. Symmetry generates all atoms from K at (0.000, 0.000, 0.000), Mg at (0.330, 0.000, 0.359), Al at (0.166, 0.500, 0.656) and Rh at (0.238, 0.500, 0.223).


7.
First-principles (GGA-PBE) data for a relaxed KMgAlRh crystal, as listed in Alexandria.

Its energy relative to the elements is -0.59 eV/f.u. For the total energy, the calculation gives -3.59 eV/atom. Its density of states at the Fermi level is 3.1 states/eV per cell. The density comes out at 2.9 g/cm³. The relative energy among the computed polymorphs is 91 meV/atom.

The space group is Cm (No. 8) and the conventional cell measures 7.422, 4.250 and 7.370 Å, with angles of 90.00, 109.47 and 90.00 degrees. Symmetry generates all atoms from K at (0.000, 0.000, 0.000), Mg at (0.038, 0.500, 0.611), Al at (0.302, 0.500, 0.401) and Rh at (0.159, 0.000, 0.472).


8.
First-principles (GGA-PBE) data for a relaxed KMgAlRh crystal, as listed in Alexandria.

Its energy relative to the elements is 0.03 eV/f.u. For the total energy, the calculation gives -3.44 eV/atom. Its density of states at the Fermi level is 4.7 states/eV per cell. The density comes out at 2.7 g/cm³. The relative energy among the computed polymorphs is 246 meV/atom.

The space group is Imm2 (No. 44) and the conventional cell measures 4.104, 4.559 and 12.678 Å, with angles of 90.00, 90.00 and 90.00 degrees. Symmetry generates all atoms from K at (0.000, 0.000, 0.000), Mg at (0.000, 0.500, 0.255), Al at (0.000, 0.500, 0.756) and Rh at (0.000, 0.000, 0.346).